1.
# Zr2SnH2 | Alexandria via LeMat-Bulk | PBE-GGA | optimized geometry
data_Zr2SnH2
_chemical_formula_sum 'Zr4 Sn2 H4'
_space_group_name_H-M_alt 'P 1'
_space_group_IT_number 1
_space_group_name_Hall 'P 1'
_cell_length_a 5.5161
_cell_length_b 5.5161
_cell_length_c 6.0987
_cell_angle_alpha 103.42
_cell_angle_beta 103.42
_cell_angle_gamma 119.17
loop_
_atom_site_label
_atom_site_type_symbol
_atom_site_fract_x
_atom_site_fract_y
_atom_site_fract_z
Zr1 Zr 0.2123 0.7877 0.7500
Zr2 Zr 0.5370 0.4630 0.7500
Zr3 Zr 0.7877 0.2123 0.2500
Zr4 Zr 0.4630 0.5370 0.2500
Sn1 Sn 0.8749 0.1251 0.7500
Sn2 Sn 0.1251 0.8749 0.2500
H1 H 0.4988 0.2483 0.9967
H2 H 0.2483 0.4988 0.4967
H3 H 0.5012 0.7517 0.0033
H4 H 0.7517 0.5012 0.5033
# - uncorrected energy (eV per atom) = -6.06
# - ΔE to the lowest computed polymorph (eV/atom) = 0.003
# - M_tot (μB/cell) = 0.00
# - N(E_F) (states/eV/cell) = 4.45

***

2.
# CaAgSnHg | Alexandria via LeMat-Bulk | PBE-GGA | optimized geometry
data_CaAgSnHg
_chemical_formula_sum 'Ca1 Ag1 Sn1 Hg1'
_space_group_name_H-M_alt 'P 1'
_space_group_IT_number 1
_space_group_name_Hall 'P 1'
_cell_length_a 5.1283
_cell_length_b 5.1283
_cell_length_c 5.1283
_cell_angle_alpha 60.00
_cell_angle_beta 60.00
_cell_angle_gamma 60.00
loop_
_atom_site_label
_atom_site_type_symbol
_atom_site_fract_x
_atom_site_fract_y
_atom_site_fract_z
Ag1 Ag 0.5000 0.5000 0.5000
Ca1 Ca 0.7500 0.7500 0.7500
Sn1 Sn 0.2500 0.2500 0.2500
Hg1 Hg 0.0000 0.0000 0.0000
# - uncorrected energy (eV per atom) = -2.62
# - M_tot (μB/cell) = 0.00
# - N(E_F) (states/eV/cell) = 2.50
# - formation energy from the elements (meV per atom) = -327.0

***

3.
# ReTc3As | Alexandria via LeMat-Bulk | PBE-GGA | optimized geometry
data_ReTc3As
_chemical_formula_sum 'Re1 Tc3 As1'
_space_group_name_H-M_alt 'P 1'
_space_group_IT_number 1
_space_group_name_Hall 'P 1'
_cell_length_a 4.6971
_cell_length_b 4.6971
_cell_length_c 4.6971
_cell_angle_alpha 90.00
_cell_angle_beta 90.00
_cell_angle_gamma 90.00
loop_
_atom_site_label
_atom_site_type_symbol
_atom_site_fract_x
_atom_site_fract_y
_atom_site_fract_z
Tc1 Tc 0.5000 0.0000 0.0000
Tc2 Tc 0.0000 0.0000 0.5000
Tc3 Tc 0.0000 0.5000 0.0000
As1 As 0.5000 0.5000 0.5000
Re1 Re 0.0000 0.0000 0.0000
# - uncorrected energy (eV per atom) = -7.89
# - ΔE to the lowest computed polymorph (eV/atom) = 0.331
# - M_tot (μB/cell) = 1.05
# - N(E_F) (states/eV/cell) = 5.56
# - formation energy from the elements (meV per atom) = 1747.4

***

4.
# CdGa2Sb | Alexandria via LeMat-Bulk | PBE-GGA | optimized geometry
data_CdGa2Sb
_chemical_formula_sum 'Cd2 Ga4 Sb2'
_space_group_name_H-M_alt 'P 1'
_space_group_IT_number 1
_space_group_name_Hall 'P 1'
_cell_length_a 6.7035
_cell_length_b 6.7035
_cell_length_c 7.1768
_cell_angle_alpha 62.16
_cell_angle_beta 62.16
_cell_angle_gamma 90.00
loop_
_atom_site_label
_atom_site_type_symbol
_atom_site_fract_x
_atom_site_fract_y
_atom_site_fract_z
Ga1 Ga 0.3750 0.3699 0.7500
Ga2 Ga 0.8750 0.8801 0.7500
Ga3 Ga 0.6301 0.1250 0.2500
Ga4 Ga 0.1199 0.6250 0.2500
Sb1 Sb 0.7500 0.2500 0.5000
Sb2 Sb 0.0000 0.0000 0.0000
Cd1 Cd 0.5000 0.5000 0.0000
Cd2 Cd 0.2500 0.7500 0.5000
# - uncorrected energy (eV per atom) = -2.62
# - formation energy from raw total energies (eV per atom) = 0.1554
# - ΔE to the lowest computed polymorph (eV/atom) = 0.085
# - M_tot (μB/cell) = 0.00
# - N(E_F) (states/eV/cell) = 2.85

***

5.
# Ho6SnPd5 | Alexandria via LeMat-Bulk | PBE-GGA | optimized geometry
data_Ho6SnPd5
_chemical_formula_sum 'Ho6 Sn1 Pd5'
_space_group_name_H-M_alt 'P 1'
_space_group_IT_number 1
_space_group_name_Hall 'P 1'
_cell_length_a 4.9992
_cell_length_b 7.0764
_cell_length_c 7.9446
_cell_angle_alpha 90.00
_cell_angle_beta 108.70
_cell_angle_gamma 90.00
loop_
_atom_site_label
_atom_site_type_symbol
_atom_site_fract_x
_atom_site_fract_y
_atom_site_fract_z
Sn1 Sn 0.0000 0.0000 0.0000
Pd1 Pd 0.3473 0.0000 0.6860
Pd2 Pd 0.3351 0.5000 0.6665
Pd3 Pd 0.6527 0.0000 0.3140
Pd4 Pd 0.6649 0.5000 0.3335
Pd5 Pd 0.0000 0.5000 0.0000
Ho1 Ho 0.8295 0.2538 0.6568
Ho2 Ho 0.8295 0.7462 0.6568
Ho3 Ho 0.5000 0.7355 0.0000
Ho4 Ho 0.1705 0.2538 0.3432
Ho5 Ho 0.5000 0.2645 0.0000
Ho6 Ho 0.1705 0.7462 0.3432
# - uncorrected energy (eV per atom) = -5.63
# - M_tot (μB/cell) = 0.00
# - N(E_F) (states/eV/cell) = 8.90
# - formation energy from the elements (meV per atom) = -843.5

***

6.
# Mg3Zr | Alexandria via LeMat-Bulk | PBE-GGA | optimized geometry
data_Mg3Zr
_chemical_formula_sum 'Mg3 Zr1'
_space_group_name_H-M_alt 'P 1'
_space_group_IT_number 1
_space_group_name_Hall 'P 1'
_cell_length_a 3.1270
_cell_length_b 3.1270
_cell_length_c 10.6126
_cell_angle_alpha 90.00
_cell_angle_beta 90.00
_cell_angle_gamma 120.00
loop_
_atom_site_label
_atom_site_type_symbol
_atom_site_fract_x
_atom_site_fract_y
_atom_site_fract_z
Zr1 Zr 0.0000 0.0000 0.0000
Mg1 Mg 0.3333 0.6667 0.2520
Mg2 Mg 0.3333 0.6667 0.7480
Mg3 Mg 0.0000 0.0000 0.5000
# - uncorrected energy (eV per atom) = -3.32
# - M_tot (μB/cell) = 0.00
# - N(E_F) (states/eV/cell) = 2.12
# - formation energy from the elements (meV per atom) = 11.4

***

Question: What is the formula in the fourth record?
Answer: CdGa2Sb

***

Repeat the second record exactly.
# CaAgSnHg | Alexandria via LeMat-Bulk | PBE-GGA | optimized geometry
data_CaAgSnHg
_chemical_formula_sum 'Ca1 Ag1 Sn1 Hg1'
_space_group_name_H-M_alt 'P 1'
_space_group_IT_number 1
_space_group_name_Hall 'P 1'
_cell_length_a 5.1283
_cell_length_b 5.1283
_cell_length_c 5.1283
_cell_angle_alpha 60.00
_cell_angle_beta 60.00
_cell_angle_gamma 60.00
loop_
_atom_site_label
_atom_site_type_symbol
_atom_site_fract_x
_atom_site_fract_y
_atom_site_fract_z
Ag1 Ag 0.5000 0.5000 0.5000
Ca1 Ca 0.7500 0.7500 0.7500
Sn1 Sn 0.2500 0.2500 0.2500
Hg1 Hg 0.0000 0.0000 0.0000
# - uncorrected energy (eV per atom) = -2.62
# - M_tot (μB/cell) = 0.00
# - N(E_F) (states/eV/cell) = 2.50
# - formation energy from the elements (meV per atom) = -327.0

***

Question: N(E_F) of number 5 (Ho6SnPd5)?
Answer: 8.90 states/eV/cell

***

Question: Which value of M_tot does entry 4 give?
Answer: 0.00 μB/cell